The following is a DFT calculation (PBE) of a geometry-optimized LaMnGe2 structure.

Cell lengths 6.9895, 6.9895, 6.9895 Å; angles 90.00, 90.00, 90.00 degrees
Closest atoms and distances in Å follow each position.
Space group Fm-3m (No. 225)
One atom of each set of equivalent atoms:
La 0.0000 0.0000 0.0000  8 Ge 3.03
Mn 0.0000 0.0000 0.5000  8 Ge 3.03
Ge 0.2500 0.2500 0.2500  4 Mn 3.03, 4 La 3.03

Calculated density: 6.60 g/cm³
Energy: -5.9844 eV per atom
E_form: -0.15 eV per atom